CsPb2Au2 | SCAN | single point on PBEsol structure

Results
ΔH_f (0 K) = -1.25 eV per formula unit
D(E_F) = 5.38 states/eV/cell
VASP energy = -657.9 eV/cell
crystal system = tetragonal

Lattice parameters (Å, degrees): 5.0752 5.0752 11.8662 90.00 90.00 90.00
Last column: nearest neighbours and their distance in Å.
Space group I4/mmm (No. 139)
One atom of each set of equivalent atoms:
1 Cs 0.0000 0.0000 0.0000 [2 per cell]  8 Au 3.90, 10 Pb 3.98-4.22
2 Pb 0.0000 0.0000 0.3556 [4 per cell]  4 Au 2.83
3 Au 0.0000 0.5000 0.2500 [4 per cell]  4 Pb 2.83

=====

Y2TaBr | SCAN | single point on PBEsol structure

Results
D(E_F) = 26.31 states/eV/cell
VASP energy = -560.3 eV/cell
crystal system = cubic

Lattice parameters (Å, degrees): 7.2415 7.2415 7.2415 90.00 90.00 90.00
Last column: nearest neighbours and their distance in Å.
Space group Fm-3m (No. 225)
One atom of each set of equivalent atoms:
1 Y 0.2500 0.2500 0.2500 [8 per cell]  4 Ta 3.14, 4 Br 3.14
2 Ta 0.0000 0.0000 0.0000 [4 per cell]  8 Y 3.14
3 Br 0.0000 0.0000 0.5000 [4 per cell]  8 Y 3.14

=====

CsSrF3 | SCAN | single point on PBEsol structure

Results
D(E_F) = 0.00 states/eV/cell
VASP energy = -88.9 eV/cell
crystal system = cubic

Lattice parameters (Å, degrees): 4.7321 4.7321 4.7321 90.00 90.00 90.00
Last column: nearest neighbours and their distance in Å.
Space group Pm-3m (No. 221)
One atom of each set of equivalent atoms:
1 Cs 0.0000 0.0000 0.0000 [1 per cell]  12 F 3.35
2 Sr 0.5000 0.5000 0.5000 [1 per cell]  6 F 2.37
3 F 0.0000 0.5000 0.5000 [3 per cell]  2 Sr 2.37

=====

TcNiSN2 | SCAN | single point on PBEsol structure

Results
D(E_F) = 2.01 states/eV/cell
VASP energy = -73.3 eV/cell
crystal system = tetragonal

Lattice parameters (Å, degrees): 3.6099 3.6099 4.4167 90.00 90.00 90.00
Last column: nearest neighbours and their distance in Å.
Space group P4/mmm (No. 123)
One atom of each set of equivalent atoms:
1 Tc 0.0000 0.0000 0.0000 [1 per cell]  4 S 2.55, 8 N 2.85
2 Ni 0.5000 0.5000 0.5000 [1 per cell]  4 N 1.80
3 S 0.5000 0.5000 0.0000 [1 per cell]  2 Ni 2.21
4 N 0.0000 0.5000 0.5000 [2 per cell]  2 Ni 1.80

=====

Question: Look up the VASP energy of the third one.
Answer: -88.9 eV/cell

=====

Question: Which value of D(E_F) does entry 2 give?
Answer: 26.31 states/eV/cell

=====

Question: What is the D(E_F) in the fourth record?
Answer: 2.01 states/eV/cell